1.
Sc2Zn3Ge2 | Alexandria via LeMat-Bulk | PBE | relaxed; DOS(E_F) = 7.4 states/eV/cell; VASP energy = -3.99 eV/atom; magnetization = 0.00 μB/f.u.; mass density = 5.47 g/cm³; crystal system = orthorhombic
1.0
3.668 0.000 0.000
0.000 18.557 0.000
0.000 0.000 3.852
Sc Zn Ge
4 6 4
direct
0.000 0.168 0.000
0.000 0.832 0.000
0.500 0.332 0.000
0.500 0.668 0.000
0.000 0.000 0.000
0.000 0.433 0.500
0.000 0.567 0.500
0.500 0.067 0.500
0.500 0.500 0.000
0.500 0.933 0.500
0.000 0.297 0.500
0.000 0.703 0.500
0.500 0.203 0.500
0.500 0.797 0.500


2.
TlCl3 | Alexandria via LeMat-Bulk | PBE | relaxed; DOS(E_F) = 1.2 states/eV/cell; VASP energy = -2.43 eV/atom; magnetization = 0.00 μB/f.u.; mass density = 4.40 g/cm³; crystal system = tetragonal
1.0
9.362 0.000 0.000
0.000 9.362 0.000
0.000 0.000 5.352
Tl Cl
4 12
direct
0.000 0.000 0.000
0.000 0.500 0.250
0.500 0.000 0.750
0.500 0.500 0.500
0.000 0.000 0.500
0.000 0.500 0.750
0.121 0.250 0.125
0.250 0.621 0.375
0.250 0.879 0.875
0.379 0.250 0.625
0.500 0.000 0.250
0.500 0.500 0.000
0.621 0.750 0.625
0.750 0.121 0.875
0.750 0.379 0.375
0.879 0.750 0.125


3.
TiTlOs2Rh | Alexandria via LeMat-Bulk | PBE | relaxed; DOS(E_F) = 8.3 states/eV/cell; VASP energy = -6.23 eV/atom; magnetization = 0.01 μB/f.u.; mass density = 11.18 g/cm³; crystal system = tetragonal
1.0
4.699 0.000 0.000
0.000 4.699 0.000
0.000 0.000 4.947
Ti Tl Os Rh
1 1 2 1
direct
0.000 0.000 0.000
0.500 0.500 0.000
0.000 0.500 0.500
0.500 0.000 0.500
0.500 0.500 0.500


4.
Sr3TlBi4 | Alexandria via LeMat-Bulk | PBE | relaxed; DOS(E_F) = 3.5 states/eV/cell; VASP energy = -3.38 eV/atom; magnetization = 0.00 μB/f.u.; mass density = 7.19 g/cm³; crystal system = triclinic
1.0
4.697 0.000 0.000
-0.004 4.813 0.000
-0.015 -2.396 13.316
Sr Tl Bi
3 1 4
direct
0.000 0.000 0.000
0.000 0.352 0.702
0.000 0.648 0.298
0.500 0.500 0.000
0.500 0.093 0.188
0.500 0.211 0.422
0.500 0.789 0.578
0.500 0.907 0.812